[1]
Entry from Alexandria: crystalline CdRu2Au at its relaxed geometry (PBE). Values from VASP.

Calculated values
total DFT energy (no corrections)	-20.96	eV for the cell shown
SG	R-3m, No. 166
M_tot	0.0006	μB per atom
ΔH_f (0 K)	0.447	eV/atom

Cell and atoms, written as Quantum ESPRESSO input:
```
&SYSTEM
  ibrav = 0, nat = 4, ntyp = 3
/
ATOMIC_SPECIES
Cd 112.41 Cd.upf
Ru 101.07 Ru.upf
Au 196.97 Au.upf
ATOMIC_POSITIONS angstrom
Cd 0.000 0.000 0.000
Ru 0.000 0.000 6.975
Ru 0.000 0.000 21.064
Au 0.000 0.000 14.020
CELL_PARAMETERS angstrom
1.417 0.818 9.346
-1.417 0.818 9.346
0.000 -1.636 9.346
```

=====

[2]
Entry from Alexandria: crystalline Tb4CdRu2Au at its relaxed geometry (PBE). Values from VASP.

Calculated values
total DFT energy (no corrections)	-44.67	eV for the cell shown
SG	R-3m, No. 166
M_tot	0.0000	μB per atom
ΔH_f (0 K)	-0.425	eV/atom

Cell and atoms, written as Quantum ESPRESSO input:
```
&SYSTEM
  ibrav = 0, nat = 8, ntyp = 4
/
ATOMIC_SPECIES
Tb 158.93 Tb.upf
Cd 112.41 Cd.upf
Ru 101.07 Ru.upf
Au 196.97 Au.upf
ATOMIC_POSITIONS angstrom
Tb 0.000 0.000 3.011
Tb 0.000 0.000 9.147
Tb 0.000 0.000 15.386
Tb 0.000 0.000 21.522
Cd 0.000 0.000 12.267
Ru 0.000 0.000 6.091
Ru 0.000 0.000 18.442
Au 0.000 0.000 0.000
CELL_PARAMETERS angstrom
2.506 1.447 8.178
-2.506 1.447 8.178
0.000 -2.894 8.178
```

=====

[3]
Entry from Alexandria: crystalline ThCdRuAu at its relaxed geometry (PBE). Values from VASP.

Calculated values
total DFT energy (no corrections)	-21.73	eV for the cell shown
SG	F-43m, No. 216
M_tot	0.0000	μB per atom
ΔH_f (0 K)	-0.211	eV/atom

Cell and atoms, written as Quantum ESPRESSO input:
```
&SYSTEM
  ibrav = 0, nat = 4, ntyp = 4
/
ATOMIC_SPECIES
Th 232.04 Th.upf
Cd 112.41 Cd.upf
Ru 101.07 Ru.upf
Au 196.97 Au.upf
ATOMIC_POSITIONS angstrom
Th 0.000 0.000 0.000
Cd 3.494 3.494 3.494
Ru 5.241 5.241 5.241
Au 1.747 1.747 1.747
CELL_PARAMETERS angstrom
0.000 3.494 3.494
3.494 0.000 3.494
3.494 3.494 0.000
```

=====

[4]
Entry from Alexandria: crystalline Zn2CdRuAu at its relaxed geometry (PBE). Values from VASP.

Calculated values
total DFT energy (no corrections)	-12.87	eV for the cell shown
SG	P4/mmm, No. 123
M_tot	0.1777	μB per atom
ΔH_f (0 K)	0.628	eV/atom

Cell and atoms, written as Quantum ESPRESSO input:
```
&SYSTEM
  ibrav = 0, nat = 5, ntyp = 4
/
ATOMIC_SPECIES
Zn 65.41 Zn.upf
Cd 112.41 Cd.upf
Ru 101.07 Ru.upf
Au 196.97 Au.upf
ATOMIC_POSITIONS angstrom
Zn 0.000 2.394 0.000
Zn 2.394 0.000 0.000
Cd 0.000 0.000 2.529
Ru 2.394 2.394 0.000
Au 2.394 2.394 2.529
CELL_PARAMETERS angstrom
4.787 0.000 0.000
0.000 4.787 0.000
0.000 0.000 5.057
```

=====

[5]
Entry from Alexandria: crystalline Cd3AuS at its relaxed geometry (PBE). Values from VASP.

Calculated values
total DFT energy (no corrections)	-8.45	eV for the cell shown
SG	Pm-3m, No. 221
ΔE_f (raw)	0.3391	eV/atom
M_tot	0.0000	μB per atom

Cell and atoms, written as Quantum ESPRESSO input:
```
&SYSTEM
  ibrav = 0, nat = 5, ntyp = 3
/
ATOMIC_SPECIES
Cd 112.41 Cd.upf
Au 196.97 Au.upf
S 32.06 S.upf
ATOMIC_POSITIONS angstrom
Cd 0.000 0.000 2.562
Cd 0.000 2.562 0.000
Cd 2.562 0.000 0.000
Au 2.562 2.562 2.562
S 0.000 0.000 0.000
CELL_PARAMETERS angstrom
5.124 0.000 0.000
0.000 5.124 0.000
0.000 0.000 5.124
```

=====

[6]
Entry from Alexandria: crystalline Cd3AuS at its relaxed geometry (PBE). Values from VASP.

Calculated values
total DFT energy (no corrections)	-8.81	eV for the cell shown
SG	Pm-3m, No. 221
ΔE_f (raw)	0.2674	eV/atom
M_tot	0.0000	μB per atom

Cell and atoms, written as Quantum ESPRESSO input:
```
&SYSTEM
  ibrav = 0, nat = 5, ntyp = 3
/
ATOMIC_SPECIES
Cd 112.41 Cd.upf
Au 196.97 Au.upf
S 32.06 S.upf
ATOMIC_POSITIONS angstrom
Cd 0.000 0.000 2.621
Cd 0.000 2.621 0.000
Cd 2.621 0.000 0.000
Au 0.000 0.000 0.000
S 2.621 2.621 2.621
CELL_PARAMETERS angstrom
5.241 0.000 0.000
0.000 5.241 0.000
0.000 0.000 5.241
```

=====

[7]
Entry from Alexandria: crystalline CdAuS at its relaxed geometry (PBE). Values from VASP.

Calculated values
total DFT energy (no corrections)	-16.88	eV for the cell shown
SG	R-3m, No. 166
ΔE_f (raw)	-0.0397	eV/atom
M_tot	0.0000	μB per atom

Cell and atoms, written as Quantum ESPRESSO input:
```
&SYSTEM
  ibrav = 0, nat = 6, ntyp = 3
/
ATOMIC_SPECIES
Cd 112.41 Cd.upf
Au 196.97 Au.upf
S 32.06 S.upf
ATOMIC_POSITIONS angstrom
Cd 0.000 0.000 2.444
Cd 0.000 0.000 25.158
Au 0.000 0.000 9.851
Au 0.000 0.000 17.751
S 0.000 0.000 5.978
S 0.000 0.000 21.625
CELL_PARAMETERS angstrom
2.083 1.203 9.201
-2.083 1.203 9.201
0.000 -2.406 9.201
```

=====

[8]
Entry from Alexandria: crystalline Cd2Au2S at its relaxed geometry (PBE). Values from VASP.

Calculated values
total DFT energy (no corrections)	-24.80	eV for the cell shown
SG	P4/mbm, No. 127
ΔE_f (raw)	0.0225	eV/atom
M_tot	0.0000	μB per atom

Cell and atoms, written as Quantum ESPRESSO input:
```
&SYSTEM
  ibrav = 0, nat = 10, ntyp = 3
/
ATOMIC_SPECIES
Cd 112.41 Cd.upf
Au 196.97 Au.upf
S 32.06 S.upf
ATOMIC_POSITIONS angstrom
Cd 1.131 2.439 0.000
Cd 2.439 6.010 0.000
Cd 4.702 1.131 0.000
Cd 6.010 4.702 0.000
Au 1.023 4.593 2.014
Au 2.548 1.023 2.014
Au 4.593 6.118 2.014
Au 6.118 2.548 2.014
S 0.000 0.000 2.014
S 3.571 3.571 2.014
CELL_PARAMETERS angstrom
7.141 0.000 0.000
0.000 7.141 0.000
0.000 0.000 4.028
```

=====

[9]
Entry from Alexandria: crystalline CdAu2S at its relaxed geometry (PBE). Values from VASP.

Calculated values
total DFT energy (no corrections)	-22.54	eV for the cell shown
SG	I-42d, No. 122
ΔE_f (raw)	0.0822	eV/atom
M_tot	0.0000	μB per atom

Cell and atoms, written as Quantum ESPRESSO input:
```
&SYSTEM
  ibrav = 0, nat = 8, ntyp = 3
/
ATOMIC_SPECIES
Cd 112.41 Cd.upf
Au 196.97 Au.upf
S 32.06 S.upf
ATOMIC_POSITIONS angstrom
Cd 0.000 0.000 0.000
Cd 0.000 2.754 3.467
Au 1.377 -0.866 5.200
Au 1.888 1.377 1.733
Au 1.377 3.620 -1.733
Au 0.866 1.377 8.667
S 2.754 0.000 3.467
S 0.000 0.000 6.934
CELL_PARAMETERS angstrom
-2.754 2.754 6.934
2.754 -2.754 6.934
2.754 2.754 -6.934
```

=====

[10]
Entry from Alexandria: crystalline Cd2Au2S at its relaxed geometry (PBE). Values from VASP.

Calculated values
total DFT energy (no corrections)	-24.36	eV for the cell shown
SG	P4/mbm, No. 127
ΔE_f (raw)	0.0662	eV/atom
M_tot	0.0000	μB per atom

Cell and atoms, written as Quantum ESPRESSO input:
```
&SYSTEM
  ibrav = 0, nat = 10, ntyp = 3
/
ATOMIC_SPECIES
Cd 112.41 Cd.upf
Au 196.97 Au.upf
S 32.06 S.upf
ATOMIC_POSITIONS angstrom
Cd 1.212 2.438 0.000
Cd 2.438 6.087 0.000
Cd 4.861 1.212 0.000
Cd 6.087 4.861 0.000
Au 0.978 4.627 1.987
Au 2.672 0.978 1.987
Au 4.627 6.321 1.987
Au 6.321 2.672 1.987
S 0.000 0.000 0.000
S 3.649 3.649 0.000
CELL_PARAMETERS angstrom
7.298 0.000 0.000
0.000 7.298 0.000
0.000 0.000 3.973
```

=====

[11]
Entry from Alexandria: crystalline CdSi2AuS at its relaxed geometry (PBE). Values from VASP.

Calculated values
total DFT energy (no corrections)	-13.31	eV for the cell shown
SG	P4/mmm, No. 123
ΔE_f (raw)	1.1711	eV/atom
M_tot	0.0000	μB per atom

Cell and atoms, written as Quantum ESPRESSO input:
```
&SYSTEM
  ibrav = 0, nat = 5, ntyp = 4
/
ATOMIC_SPECIES
Cd 112.41 Cd.upf
Si 28.09 Si.upf
Au 196.97 Au.upf
S 32.06 S.upf
ATOMIC_POSITIONS angstrom
Cd 0.000 0.000 0.000
Si 0.000 2.538 0.000
Si 2.538 0.000 0.000
Au 2.538 2.538 2.430
S 0.000 0.000 2.430
CELL_PARAMETERS angstrom
5.075 0.000 0.000
0.000 5.075 0.000
0.000 0.000 4.861
```

=====

[12]
Entry from Alexandria: crystalline TiCdAuS2 at its relaxed geometry (PBE). Values from VASP.

Calculated values
total DFT energy (no corrections)	-16.72	eV for the cell shown
SG	P4/mmm, No. 123
ΔE_f (raw)	0.7244	eV/atom
M_tot	0.0257	μB per atom

Cell and atoms, written as Quantum ESPRESSO input:
```
&SYSTEM
  ibrav = 0, nat = 5, ntyp = 4
/
ATOMIC_SPECIES
Ti 47.87 Ti.upf
Cd 112.41 Cd.upf
Au 196.97 Au.upf
S 32.06 S.upf
ATOMIC_POSITIONS angstrom
Ti 0.000 0.000 0.000
Cd 2.436 2.436 0.000
Au 2.436 2.436 2.567
S 0.000 2.436 2.567
S 2.436 0.000 2.567
CELL_PARAMETERS angstrom
4.872 0.000 0.000
0.000 4.872 0.000
0.000 0.000 5.134
```

=====

[13]
Entry from Alexandria: crystalline CdSb2Au at its relaxed geometry (PBE). Values from VASP.

Calculated values
total DFT energy (no corrections)	-12.29	eV for the cell shown
SG	Fmmm, No. 69
ΔE_f (raw)	0.0377	eV/atom
M_tot	0.0000	μB per atom

Cell and atoms, written as Quantum ESPRESSO input:
```
&SYSTEM
  ibrav = 0, nat = 4, ntyp = 3
/
ATOMIC_SPECIES
Cd 112.41 Cd.upf
Sb 121.76 Sb.upf
Au 196.97 Au.upf
ATOMIC_POSITIONS angstrom
Cd 0.000 0.000 0.000
Sb 3.082 1.904 2.217
Sb 0.000 1.904 2.217
Au 3.082 3.808 4.434
CELL_PARAMETERS angstrom
0.000 3.808 4.434
3.082 0.000 4.434
3.082 3.808 0.000
```

=====

[14]
Entry from Alexandria: crystalline CdSb2Au at its relaxed geometry (PBE). Values from VASP.

Calculated values
total DFT energy (no corrections)	-11.86	eV for the cell shown
SG	P4/mmm, No. 123
ΔE_f (raw)	0.1449	eV/atom
M_tot	0.0000	μB per atom

Cell and atoms, written as Quantum ESPRESSO input:
```
&SYSTEM
  ibrav = 0, nat = 4, ntyp = 3
/
ATOMIC_SPECIES
Cd 112.41 Cd.upf
Sb 121.76 Sb.upf
Au 196.97 Au.upf
ATOMIC_POSITIONS angstrom
Cd 0.000 0.000 0.000
Sb 0.000 2.830 1.509
Sb 2.830 0.000 1.509
Au 2.830 2.830 0.000
CELL_PARAMETERS angstrom
5.659 0.000 0.000
0.000 5.659 0.000
0.000 0.000 3.019
```

=====

[15]
Entry from Alexandria: crystalline CdSb2Au at its relaxed geometry (PBE). Values from VASP.

Calculated values
total DFT energy (no corrections)	-12.01	eV for the cell shown
SG	Immm, No. 71
ΔE_f (raw)	0.1072	eV/atom
M_tot	0.0000	μB per atom

Cell and atoms, written as Quantum ESPRESSO input:
```
&SYSTEM
  ibrav = 0, nat = 4, ntyp = 3
/
ATOMIC_SPECIES
Cd 112.41 Cd.upf
Sb 121.76 Sb.upf
Au 196.97 Au.upf
ATOMIC_POSITIONS angstrom
Cd 0.000 0.000 0.000
Sb 2.043 0.000 2.441
Sb 0.000 2.735 1.993
Au 0.000 0.000 4.434
CELL_PARAMETERS angstrom
-2.043 2.735 4.434
2.043 -2.735 4.434
2.043 2.735 -4.434
```

=====

[16]
Entry from Alexandria: crystalline CdSbAu2 at its relaxed geometry (PBE). Values from VASP.

Calculated values
total DFT energy (no corrections)	-11.63	eV for the cell shown
SG	Pmmm, No. 47
ΔE_f (raw)	-0.0087	eV/atom
M_tot	0.0000	μB per atom

Cell and atoms, written as Quantum ESPRESSO input:
```
&SYSTEM
  ibrav = 0, nat = 4, ntyp = 3
/
ATOMIC_SPECIES
Cd 112.41 Cd.upf
Sb 121.76 Sb.upf
Au 196.97 Au.upf
ATOMIC_POSITIONS angstrom
Cd 0.000 0.000 0.000
Sb 0.000 0.000 3.328
Au 1.614 1.960 1.530
Au 1.614 1.960 5.127
CELL_PARAMETERS angstrom
3.227 0.000 0.000
0.000 3.920 0.000
0.000 0.000 6.657
```

=====

[17]
Entry from Alexandria: crystalline Cd12Sb5Au3 at its relaxed geometry (PBE). Values from VASP.

Calculated values
total DFT energy (no corrections)	-163.33	eV for the cell shown
SG	Ia-3d, No. 230
ΔE_f (raw)	0.0297	eV/atom
M_tot	0.0000	μB per atom

Cell and atoms, written as Quantum ESPRESSO input:
```
&SYSTEM
  ibrav = 0, nat = 80, ntyp = 3
/
ATOMIC_SPECIES
Cd 112.41 Cd.upf
Sb 121.76 Sb.upf
Au 196.97 Au.upf
ATOMIC_POSITIONS angstrom
Cd 2.577 -0.214 1.344
Cd 9.909 5.506 -4.376
Cd 8.110 -1.344 2.577
Cd 12.700 -1.585 2.818
Cd 10.901 0.214 1.344
Cd 9.909 -2.818 4.376
Cd 1.344 2.577 -0.214
Cd 11.142 3.948 -1.585
Cd 5.506 4.376 -1.585
Cd 6.980 2.577 0.214
Cd -0.214 1.344 2.577
Cd 4.376 -1.585 5.506
Cd 8.110 6.980 -2.577
Cd 4.376 1.585 2.818
Cd 6.980 -2.577 8.110
Cd 5.506 -4.376 9.909
Cd 2.818 4.376 1.585
Cd 9.668 5.747 0.214
Cd 2.577 8.110 -1.344
Cd 9.909 2.818 3.948
Cd 4.376 9.909 -2.818
Cd 8.110 1.344 5.747
Cd 1.585 2.818 4.376
Cd 2.577 0.214 6.980
Cd 5.747 8.110 1.344
Cd 6.739 5.506 3.948
Cd 0.214 6.980 2.577
Cd 3.948 -1.585 11.142
Cd -1.585 5.506 4.376
Cd 5.747 0.214 9.668
Cd -1.344 2.577 8.110
Cd 5.506 3.948 6.739
Cd 2.818 12.700 -1.585
Cd 1.344 10.901 0.214
Cd 3.948 6.739 5.506
Cd 0.214 1.344 10.901
Cd 3.948 9.909 2.818
Cd 8.538 6.980 5.747
Cd 1.344 5.747 8.110
Cd 2.818 3.948 9.909
Cd -2.818 4.376 9.909
Cd 6.980 5.747 8.538
Cd -1.585 11.142 3.948
Cd -2.577 8.110 6.980
Cd -4.376 9.909 5.506
Cd 0.214 9.668 5.747
Cd -1.585 2.818 12.700
Cd 5.747 8.538 6.980
Sb 0.000 0.000 0.000
Sb 4.162 4.162 -4.162
Sb 4.162 -4.162 4.162
Sb 8.324 0.000 0.000
Sb 12.486 2.081 0.000
Sb 8.324 -4.162 6.243
Sb 6.243 8.324 -4.162
Sb 6.243 0.000 4.162
Sb 4.162 6.243 0.000
Sb 8.324 4.162 2.081
Sb -4.162 4.162 4.162
Sb 0.000 8.324 0.000
Sb 0.000 0.000 8.324
Sb 4.162 4.162 4.162
Sb 0.000 4.162 6.243
Sb 4.162 2.081 8.324
Sb 2.081 8.324 4.162
Sb 2.081 0.000 12.486
Sb 0.000 12.486 2.081
Sb -4.162 6.243 8.324
Au 4.162 2.081 0.000
Au 8.324 4.162 -2.081
Au 2.081 0.000 4.162
Au 10.405 0.000 4.162
Au 0.000 4.162 2.081
Au 4.162 -2.081 8.324
Au 4.162 10.405 0.000
Au 8.324 4.162 6.243
Au -2.081 8.324 4.162
Au 6.243 8.324 4.162
Au 0.000 4.162 10.405
Au 4.162 6.243 8.324
CELL_PARAMETERS angstrom
-8.324 8.324 8.324
8.324 -8.324 8.324
8.324 8.324 -8.324
```

=====

[18]
Entry from Alexandria: crystalline CdSb2Au6 at its relaxed geometry (PBE). Values from VASP.

Calculated values
total DFT energy (no corrections)	-29.16	eV for the cell shown
SG	C2/m, No. 12
ΔE_f (raw)	-0.0373	eV/atom
M_tot	0.0000	μB per atom

Cell and atoms, written as Quantum ESPRESSO input:
```
&SYSTEM
  ibrav = 0, nat = 9, ntyp = 3
/
ATOMIC_SPECIES
Cd 112.41 Cd.upf
Sb 121.76 Sb.upf
Au 196.97 Au.upf
ATOMIC_POSITIONS angstrom
Cd 0.000 0.000 0.000
Sb 3.903 0.000 1.390
Sb 3.846 0.000 5.219
Au -1.412 0.000 2.475
Au 1.464 0.000 2.906
Au -0.289 0.000 5.452
Au 8.038 0.000 1.157
Au 6.285 0.000 3.703
Au 9.161 0.000 4.134
CELL_PARAMETERS angstrom
6.470 -2.262 0.000
6.470 2.262 0.000
-5.191 0.000 6.609
```

=====

[19]
Entry from Alexandria: crystalline CdSbAu14 at its relaxed geometry (PBE). Values from VASP.

Calculated values
total DFT energy (no corrections)	-50.76	eV for the cell shown
SG	Amm2, No. 38
ΔE_f (raw)	0.0098	eV/atom
M_tot	0.0000	μB per atom

Cell and atoms, written as Quantum ESPRESSO input:
```
&SYSTEM
  ibrav = 0, nat = 16, ntyp = 3
/
ATOMIC_SPECIES
Cd 112.41 Cd.upf
Sb 121.76 Sb.upf
Au 196.97 Au.upf
ATOMIC_POSITIONS angstrom
Cd 0.000 0.000 0.000
Sb 0.000 0.000 5.190
Au 0.000 -1.516 2.578
Au 0.000 1.516 2.578
Au 2.362 0.000 8.560
Au 2.405 0.000 3.397
Au 2.415 -1.551 5.991
Au 2.415 1.551 5.991
Au 4.744 -1.539 4.231
Au 4.744 0.000 1.668
Au 4.744 0.000 6.824
Au 4.744 1.539 4.231
Au 7.073 -1.551 5.991
Au 7.073 1.551 5.991
Au 7.083 0.000 3.397
Au 7.126 0.000 8.560
CELL_PARAMETERS angstrom
9.488 0.000 0.000
0.000 3.057 5.162
0.000 -3.057 5.162
```

=====

[20]
Entry from Alexandria: crystalline CdSb2Au at its relaxed geometry (PBE). Values from VASP.

Calculated values
total DFT energy (no corrections)	-11.81	eV for the cell shown
SG	I4/mmm, No. 139
ΔE_f (raw)	0.1557	eV/atom
M_tot	0.0000	μB per atom

Cell and atoms, written as Quantum ESPRESSO input:
```
&SYSTEM
  ibrav = 0, nat = 4, ntyp = 3
/
ATOMIC_SPECIES
Cd 112.41 Cd.upf
Sb 121.76 Sb.upf
Au 196.97 Au.upf
ATOMIC_POSITIONS angstrom
Cd 0.000 0.000 0.000
Sb 2.240 0.000 2.403
Sb 0.000 2.240 2.403
Au 0.000 0.000 4.807
CELL_PARAMETERS angstrom
-2.240 2.240 4.807
2.240 -2.240 4.807
2.240 2.240 -4.807
```